# 1
Here is crystalline Zr3GaBi at its relaxed geometry from the Alexandria database. Energies are from PBE.

Output
As for the space group: Pm-3m, No. 221. For the total energy, the calculation gives -5.4757 eV per atom. The value obtained for the energy above the lowest structure with this stoichiometry is 1398 meV/atom. For the formation energy, the calculation gives 5.17 eV per formula unit.

Cell and atoms, written as POSCAR:
```
Zr3GaBi
1.0
5.3887 0.0000 0.0000
0.0000 5.3887 0.0000
0.0000 0.0000 5.3887
Zr Ga Bi
3 1 1
Cartesian
0.0000 0.0000 2.6943
0.0000 2.6943 0.0000
2.6943 0.0000 0.0000
2.6943 2.6943 2.6943
0.0000 0.0000 0.0000
```

---

# 2
Here is crystalline BeNi2Ru at its relaxed geometry from the Alexandria database. Energies are from PBE.

Output
As for the space group: I-4m2, No. 119. For the total energy, the calculation gives -6.1596 eV per atom. For the formation energy, the calculation gives -0.07 eV per formula unit.

Cell and atoms, written as POSCAR:
```
BeNi2Ru
1.0
3.6543 0.0000 0.0000
0.0000 3.6543 0.0000
0.0000 0.0000 6.6391
Be Ni Ru
2 4 2
Cartesian
0.0000 0.0000 0.0000
1.8271 1.8271 3.3196
0.0000 0.0000 3.3196
0.0000 1.8271 4.9794
1.8271 0.0000 1.6598
1.8271 1.8271 0.0000
0.0000 1.8271 1.6598
1.8271 0.0000 4.9794
```

---

# 3
Here is crystalline La4Nd4Tm at its relaxed geometry from the Alexandria database. Energies are from PBE.

Output
As for the space group: C2/m, No. 12. For the total energy, the calculation gives -4.7872 eV per atom. For the formation energy, the calculation gives 0.17 eV per formula unit.

Cell and atoms, written as POSCAR:
```
La4Nd4Tm
1.0
7.7898 -2.6202 0.0000
7.7898 2.6202 0.0000
-2.6580 0.0000 7.8152
La Nd Tm
4 4 1
Cartesian
2.5769 0.0000 0.0121
2.5766 0.0000 5.2296
10.3450 0.0000 2.5856
10.3448 0.0000 7.8030
-0.0321 0.0000 2.6170
5.1981 0.0000 2.5735
7.7235 0.0000 5.2417
12.9538 0.0000 5.1982
7.7898 0.0000 0.0000
```

---

# 4
Here is crystalline Sc5TlZn4 at its relaxed geometry from the Alexandria database. Energies are from PBE.

Output
As for the space group: P4/mmm, No. 123. For the total energy, the calculation gives -4.2653 eV per atom. For the formation energy, the calculation gives -3.53 eV per formula unit.

Cell and atoms, written as POSCAR:
```
Sc5TlZn4
1.0
3.3778 0.0000 0.0000
0.0000 3.3778 0.0000
0.0000 0.0000 17.2536
Sc Tl Zn
5 1 4
Cartesian
0.0000 0.0000 0.0000
0.0000 0.0000 3.3187
0.0000 0.0000 6.6149
0.0000 0.0000 10.6387
0.0000 0.0000 13.9350
1.6889 1.6889 8.6268
1.6889 1.6889 1.6747
1.6889 1.6889 4.9306
1.6889 1.6889 12.3231
1.6889 1.6889 15.5790
```

---

# 5
Here is crystalline KBaBeTl2 at its relaxed geometry from the Alexandria database. Energies are from PBE.

Output
As for the space group: P4/mmm, No. 123. For the total energy, the calculation gives -1.1543 eV per atom. For the formation energy, the calculation gives 5.71 eV per formula unit.

Cell and atoms, written as POSCAR:
```
KBaBeTl2
1.0
6.4829 0.0000 0.0000
0.0000 6.4829 0.0000
0.0000 0.0000 7.5660
K Ba Be Tl
1 1 1 2
Cartesian
0.0000 0.0000 0.0000
0.0000 0.0000 3.7830
3.2414 3.2414 0.0000
0.0000 3.2414 3.7830
3.2414 0.0000 3.7830
```

---

# 6
Here is crystalline PaTiMnCo at its relaxed geometry from the Alexandria database. Energies are from PBE.

Output
As for the space group: F-43m, No. 216. For the total energy, the calculation gives -8.5016 eV per atom. For the formation energy, the calculation gives -0.34 eV per formula unit.

Cell and atoms, written as POSCAR:
```
PaTiMnCo
1.0
6.3096 0.0000 0.0000
0.0000 6.3096 0.0000
0.0000 0.0000 6.3096
Pa Ti Mn Co
4 4 4 4
Cartesian
0.0000 0.0000 0.0000
0.0000 3.1548 3.1548
3.1548 0.0000 3.1548
3.1548 3.1548 0.0000
0.0000 0.0000 3.1548
0.0000 3.1548 0.0000
3.1548 0.0000 0.0000
3.1548 3.1548 3.1548
1.5774 1.5774 4.7322
1.5774 4.7322 1.5774
4.7322 1.5774 1.5774
4.7322 4.7322 4.7322
1.5774 1.5774 1.5774
1.5774 4.7322 4.7322
4.7322 1.5774 4.7322
4.7322 4.7322 1.5774
```

---

# 7
Here is crystalline LaZrCd2 at its relaxed geometry from the Alexandria database. Energies are from PBE.

Output
As for the space group: Pmmm, No. 47. For the total energy, the calculation gives -3.9686 eV per atom. The value obtained for the energy above the lowest structure with this stoichiometry is 26 meV/atom. For the formation energy, the calculation gives -0.57 eV per formula unit.

Cell and atoms, written as POSCAR:
```
LaZrCd2
1.0
3.2232 0.0000 0.0000
0.0000 4.3345 0.0000
0.0000 0.0000 7.2914
La Zr Cd
1 1 2
Cartesian
0.0000 0.0000 0.0000
0.0000 0.0000 3.6457
1.6116 2.1672 2.0891
1.6116 2.1672 5.2023
```

---

# 8
Here is crystalline CeNdHo5Er2 at its relaxed geometry from the Alexandria database. Energies are from PBE.

Output
As for the space group: Cmc2_1, No. 36. For the total energy, the calculation gives -4.5648 eV per atom. For the formation energy, the calculation gives 1.63 eV per formula unit.

Cell and atoms, written as POSCAR:
```
CeNdHo5Er2
1.0
2.8359 -10.8117 0.0000
2.8359 10.8117 0.0000
0.0000 0.0000 9.5485
Ce Nd Ho Er
2 2 10 4
Cartesian
2.8359 10.5344 4.7743
2.8359 -10.5344 0.0000
2.8359 5.0448 7.9339
2.8359 -5.0448 3.1596
2.8359 6.7523 4.9469
2.8359 4.1505 2.1066
2.8359 2.2378 5.1629
2.8359 2.1214 8.8278
2.8359 0.6315 2.2970
2.8359 -0.6315 7.0712
2.8359 -2.1214 4.0535
2.8359 -2.2378 0.3887
2.8359 -4.1505 6.8809
2.8359 -6.7523 0.1726
2.8359 8.3998 7.8656
2.8359 7.9677 1.9496
2.8359 -7.9677 6.7239
2.8359 -8.3998 3.0914
```

---

# 9
Here is crystalline YEr2Pa at its relaxed geometry from the Alexandria database. Energies are from PBE.

Output
As for the space group: P4/mmm, No. 123. For the total energy, the calculation gives -6.1492 eV per atom. The value obtained for the energy above the lowest structure with this stoichiometry is 13 meV/atom. For the formation energy, the calculation gives 0.49 eV per formula unit.

Cell and atoms, written as POSCAR:
```
YEr2Pa
1.0
3.4108 0.0000 0.0000
0.0000 3.4108 0.0000
0.0000 0.0000 10.0908
Y Er Pa
1 2 1
Cartesian
0.0000 0.0000 0.0000
1.7054 1.7054 2.6995
1.7054 1.7054 7.3912
0.0000 0.0000 5.0454
```

---

# 10
Here is crystalline LaCd2Cl at its relaxed geometry from the Alexandria database. Energies are from PBE.

Output
For the formation energy (no corrections), the calculation gives -2.49 eV per formula unit. As for the space group: Imm2, No. 44. For the total energy, the calculation gives -2.7743 eV per atom. The value obtained for the energy above the lowest structure with this stoichiometry is 126 meV/atom.

Cell and atoms, written as POSCAR:
```
LaCd2Cl
1.0
4.4364 0.0000 0.0000
0.0000 5.3348 0.0000
0.0000 0.0000 9.3007
La Cd Cl
2 4 2
Cartesian
0.0000 0.0000 0.0000
2.2182 2.6674 4.6503
0.0000 0.0000 4.3059
0.0000 2.6674 2.1333
2.2182 0.0000 6.7836
2.2182 2.6674 8.9562
0.0000 2.6674 6.5490
2.2182 0.0000 1.8987
```

---

# 11
Here is crystalline KDyTm4S8 at its relaxed geometry from the Alexandria database. Energies are from PBE.

Output
For the formation energy (no corrections), the calculation gives -26.97 eV per formula unit. As for the space group: R3m, No. 160. For the total energy, the calculation gives -5.9697 eV per atom.

Cell and atoms, written as POSCAR:
```
KDyTm4S8
1.0
4.0558 2.3416 6.6786
-4.0558 2.3416 6.6786
0.0000 -4.6833 6.6786
K Dy Tm S
1 1 4 8
Cartesian
0.0000 0.0000 0.0000
0.0000 0.0000 12.6545
-2.1025 -1.2139 9.1858
0.0000 0.0000 5.0477
2.1025 -1.2139 9.1858
0.0000 2.4278 9.1858
0.0000 -2.2141 10.8236
-1.9174 1.1070 10.8236
0.0000 0.0000 7.6958
-1.7688 -1.0212 14.3632
1.9174 1.1070 10.8236
0.0000 0.0000 17.2171
1.7688 -1.0212 14.3632
0.0000 2.0425 14.3632
```

---

# 12
Here is crystalline Ga2Si2Te at its relaxed geometry from the Alexandria database. Energies are from PBE.

Output
For the formation energy (no corrections), the calculation gives 1.51 eV per formula unit. As for the space group: P4/mbm, No. 127. For the total energy, the calculation gives -3.7062 eV per atom. The value obtained for the energy above the lowest structure with this stoichiometry is 79 meV/atom.

Cell and atoms, written as POSCAR:
```
Ga2Si2Te
1.0
8.1043 0.0000 0.0000
0.0000 8.1043 0.0000
0.0000 0.0000 3.0066
Ga Si Te
4 4 2
Cartesian
1.1183 2.9338 0.0000
2.9338 6.9860 0.0000
5.1704 1.1183 0.0000
6.9860 5.1704 0.0000
1.2861 5.3383 1.5033
2.7660 1.2861 1.5033
5.3383 6.8182 1.5033
6.8182 2.7660 1.5033
0.0000 0.0000 1.5033
4.0521 4.0521 1.5033
```